Material: PmTlIr
Method: DFT, GGA-PBE
State: optimized geometry

The calculation puts the density of states at the Fermi level at 0.536 states/eV/atom. The value obtained for the relative energy among the computed polymorphs is 92 meV/atom. For the final energy, the calculation gives -5.560 eV per atom. The calculation puts the formation energy from the elements at -0.2345 eV/atom.

abc: 4.8091 4.8091 3.4519
angles: 90.00 90.00 120.00
Closest atoms and distances in Å follow each position.
Atoms (fractional coordinates):
1 Pm 0.0000 0.0000 0.0000  6 Tl 3.27, 6 Ir 3.27, 2 Pm 3.45
2 Tl 0.6667 0.3333 0.5000  3 Ir 2.78
3 Ir 0.3333 0.6667 0.5000  3 Tl 2.78

***

Material: Pm7TlIr2
Method: DFT, GGA-PBE
State: optimized geometry

The calculation puts the density of states at the Fermi level at 1.195 states/eV/atom. For the final energy, the calculation gives -5.719 eV per atom. The calculation puts the formation energy from the elements at -0.3849 eV/atom.

abc: 12.3942 12.3942 12.3942
angles: 156.96 156.96 32.81
Closest atoms and distances in Å follow each position.
Atoms (fractional coordinates):
1 Pm 0.0000 0.0000 0.0000  4 Tl 3.50, 8 Pm 3.52
2 Pm 0.1053 0.6053 0.5000  2 Ir 2.97
3 Pm 0.2500 0.7500 0.5000  4 Ir 3.06
4 Pm 0.3947 0.8947 0.5000  2 Ir 2.97
5 Pm 0.6053 0.1053 0.5000  2 Ir 2.97
6 Pm 0.7500 0.2500 0.5000  4 Ir 3.06
7 Pm 0.8947 0.3947 0.5000  2 Ir 2.97
8 Tl 0.5000 0.5000 0.0000  12 Pm 3.50-3.52
9 Ir 0.1740 0.1740 0.0000  8 Pm 2.97-3.06
10 Ir 0.8260 0.8260 0.0000  8 Pm 2.97-3.06

***

Material: Pm12Tl6Ir
Method: DFT, GGA-PBE
State: optimized geometry

The calculation puts the density of states at the Fermi level at 1.078 states/eV/atom. For the final energy, the calculation gives -4.432 eV per atom. The calculation puts the formation energy from the elements at -0.2182 eV/atom.

abc: 8.5432 8.5432 8.5432
angles: 93.90 93.90 93.90
Closest atoms and distances in Å follow each position.
Atoms (fractional coordinates):
1 Pm 0.0291 0.9106 0.6842  1 Ir 2.79
2 Pm 0.0894 0.3158 0.9709  1 Ir 2.79
3 Pm 0.2014 0.4268 0.5465  4 Tl 3.21-3.31
4 Pm 0.3158 0.9709 0.0894  1 Ir 2.79
5 Pm 0.4268 0.5465 0.2014  4 Tl 3.21-3.31
6 Pm 0.4535 0.7986 0.5732  4 Tl 3.21-3.31
7 Pm 0.5465 0.2014 0.4268  4 Tl 3.21-3.31
8 Pm 0.5732 0.4535 0.7986  4 Tl 3.21-3.31
9 Pm 0.6842 0.0291 0.9106  1 Ir 2.79
10 Pm 0.7986 0.5732 0.4535  4 Tl 3.21-3.31
11 Pm 0.9106 0.6842 0.0291  1 Ir 2.79
12 Pm 0.9709 0.0894 0.3158  1 Ir 2.79
13 Tl 0.1370 0.7295 0.3467  8 Pm 3.21-3.49
14 Tl 0.2705 0.6533 0.8630  8 Pm 3.21-3.49
15 Tl 0.3467 0.1370 0.7295  8 Pm 3.21-3.49
16 Tl 0.6533 0.8630 0.2705  8 Pm 3.21-3.49
17 Tl 0.7295 0.3467 0.1370  8 Pm 3.21-3.49
18 Tl 0.8630 0.2705 0.6533  8 Pm 3.21-3.49
19 Ir 0.0000 0.0000 0.0000  6 Pm 2.79

***

Material: Pm4TlIr2
Method: DFT, GGA-PBE
State: optimized geometry

The calculation puts the density of states at the Fermi level at 0.871 states/eV/atom. The value obtained for the relative energy among the computed polymorphs is 62 meV/atom. For the final energy, the calculation gives -6.037 eV per atom. The calculation puts the formation energy from the elements at -0.4529 eV/atom.

abc: 7.8664 7.8664 7.8664
angles: 108.87 108.87 110.68
Closest atoms and distances in Å follow each position.
Atoms (fractional coordinates):
1 Pm 0.0077 0.4029 0.2554  2 Ir 2.81-2.98, 1 Tl 3.12
2 Pm 0.1475 0.7523 0.7446  2 Ir 2.81-2.98, 1 Tl 3.12
3 Pm 0.1529 0.2577 0.7554  2 Ir 2.81-2.98, 1 Tl 3.12
4 Pm 0.2477 0.9923 0.3952  2 Ir 2.81-2.98, 1 Tl 3.12
5 Pm 0.5023 0.3975 0.2446  2 Ir 2.81-2.98, 1 Tl 3.12
6 Pm 0.5971 0.8525 0.6048  2 Ir 2.81-2.98, 1 Tl 3.12
7 Pm 0.6025 0.8471 0.1048  2 Ir 2.81-2.98, 1 Tl 3.12
8 Pm 0.7423 0.4977 0.8952  2 Ir 2.81-2.98, 1 Tl 3.12
9 Tl 0.0000 0.0000 0.0000  8 Pm 3.12-3.40
10 Tl 0.7500 0.2500 0.5000  8 Pm 3.12-3.40
11 Ir 0.2415 0.6250 0.1165  4 Pm 2.81-2.98
12 Ir 0.3750 0.4915 0.6165  4 Pm 2.81-2.98
13 Ir 0.5085 0.1250 0.8835  4 Pm 2.81-2.98
14 Ir 0.8750 0.7585 0.3835  4 Pm 2.81-2.98

***

Material: Pm5Tl4Ir
Method: DFT, GGA-PBE
State: optimized geometry

The calculation puts the density of states at the Fermi level at 0.832 states/eV/atom. For the final energy, the calculation gives -4.651 eV per atom. The calculation puts the formation energy from the elements at -0.4430 eV/atom.

abc: 3.6128 3.6128 21.2424
angles: 90.00 90.00 90.00
Closest atoms and distances in Å follow each position.
Atoms (fractional coordinates):
1 Pm 0.0000 0.0000 0.0000  8 Tl 3.38, 4 Pm 3.61
2 Pm 0.0000 0.0000 0.2082  8 Tl 3.36-3.38, 4 Pm 3.61
3 Pm 0.0000 0.0000 0.4211  4 Ir 3.06, 1 Pm 3.35
4 Pm 0.0000 0.0000 0.5789  4 Ir 3.06, 1 Pm 3.35
5 Pm 0.0000 0.0000 0.7918  8 Tl 3.36-3.38, 4 Pm 3.61
6 Tl 0.5000 0.5000 0.1041  8 Pm 3.38, 4 Tl 3.61
7 Tl 0.5000 0.5000 0.3108  8 Pm 3.36-3.47, 4 Tl 3.61
8 Tl 0.5000 0.5000 0.6892  8 Pm 3.36-3.47, 4 Tl 3.61
9 Tl 0.5000 0.5000 0.8959  8 Pm 3.38, 4 Tl 3.61
10 Ir 0.5000 0.5000 0.5000  8 Pm 3.06

***

Material: Pm7Tl2Ir2
Method: DFT, GGA-PBE
State: optimized geometry

The calculation puts the density of states at the Fermi level at 0.916 states/eV/atom. The value obtained for the relative energy among the computed polymorphs is 19 meV/atom. For the final energy, the calculation gives -5.452 eV per atom. The calculation puts the formation energy from the elements at -0.3878 eV/atom.

abc: 7.0247 7.0247 7.2739
angles: 90.00 90.00 106.47
Closest atoms and distances in Å follow each position.
Atoms (fractional coordinates):
1 Pm 0.0000 0.0000 0.0000  2 Ir 3.24
2 Pm 0.0000 0.5000 0.2480  2 Ir 2.80
3 Pm 0.0000 0.5000 0.7520  2 Ir 2.80
4 Pm 0.5000 0.0000 0.2480  2 Ir 2.80
5 Pm 0.5000 0.0000 0.7520  2 Ir 2.80
6 Pm 0.5000 0.5000 0.2412  2 Ir 2.96, 2 Tl 3.30
7 Pm 0.5000 0.5000 0.7588  2 Ir 2.96, 2 Tl 3.30
8 Tl 0.1783 0.1783 0.5000  1 Tl 3.00, 2 Pm 3.30
9 Tl 0.8217 0.8217 0.5000  1 Tl 3.00, 2 Pm 3.30
10 Ir 0.2883 0.7117 0.0000  6 Pm 2.80-2.96
11 Ir 0.7117 0.2883 0.0000  6 Pm 2.80-2.96

***

Material: PmTmTlIr
Method: DFT, GGA-PBE
State: optimized geometry

The calculation puts the density of states at the Fermi level at 0.795 states/eV/atom. The value obtained for the relative energy among the computed polymorphs is 0 meV/atom. For the final energy, the calculation gives -5.697 eV per atom. The calculation puts the formation energy from the elements at -0.5842 eV/atom.

abc: 3.4803 3.4803 8.1118
angles: 90.00 90.00 90.00
Closest atoms and distances in Å follow each position.
Atoms (fractional coordinates):
1 Pm 0.0000 0.0000 0.0000  4 Ir 3.05, 1 Tm 3.33
2 Tm 0.0000 0.0000 0.5890  4 Ir 2.90
3 Tl 0.5000 0.5000 0.3056  4 Tm 3.37, 4 Tl 3.48, 4 Pm 3.49
4 Ir 0.5000 0.5000 0.7779  4 Tm 2.90, 4 Pm 3.05

***

Material: PmTmTlIr
Method: DFT, GGA-PBE
State: optimized geometry

The calculation puts the density of states at the Fermi level at 0.633 states/eV/atom. The value obtained for the relative energy among the computed polymorphs is 144 meV/atom. For the final energy, the calculation gives -5.552 eV per atom. The calculation puts the formation energy from the elements at -0.4400 eV/atom.

abc: 5.1340 5.1340 5.1340
angles: 60.00 60.00 60.00
Closest atoms and distances in Å follow each position.
Atoms (fractional coordinates):
1 Pm 0.0000 0.0000 0.0000  4 Tl 3.14, 4 Ir 3.14
2 Tm 0.5000 0.5000 0.5000  4 Tl 3.14, 4 Ir 3.14
3 Tl 0.7500 0.7500 0.7500  4 Pm 3.14, 4 Tm 3.14
4 Ir 0.2500 0.2500 0.2500  4 Tm 3.14, 4 Pm 3.14

***

What did the sixth record say?
Material: Pm7Tl2Ir2
Method: DFT, GGA-PBE
State: optimized geometry

The calculation puts the density of states at the Fermi level at 0.916 states/eV/atom. The value obtained for the relative energy among the computed polymorphs is 19 meV/atom. For the final energy, the calculation gives -5.452 eV per atom. The calculation puts the formation energy from the elements at -0.3878 eV/atom.

abc: 7.0247 7.0247 7.2739
angles: 90.00 90.00 106.47
Closest atoms and distances in Å follow each position.
Atoms (fractional coordinates):
1 Pm 0.0000 0.0000 0.0000  2 Ir 3.24
2 Pm 0.0000 0.5000 0.2480  2 Ir 2.80
3 Pm 0.0000 0.5000 0.7520  2 Ir 2.80
4 Pm 0.5000 0.0000 0.2480  2 Ir 2.80
5 Pm 0.5000 0.0000 0.7520  2 Ir 2.80
6 Pm 0.5000 0.5000 0.2412  2 Ir 2.96, 2 Tl 3.30
7 Pm 0.5000 0.5000 0.7588  2 Ir 2.96, 2 Tl 3.30
8 Tl 0.1783 0.1783 0.5000  1 Tl 3.00, 2 Pm 3.30
9 Tl 0.8217 0.8217 0.5000  1 Tl 3.00, 2 Pm 3.30
10 Ir 0.2883 0.7117 0.0000  6 Pm 2.80-2.96
11 Ir 0.7117 0.2883 0.0000  6 Pm 2.80-2.96